An optimized crystal structure of TbPr2Cu9. Source: Alexandria, functional PBE.

```
12
Lattice="2.607 1.505 8.504 -2.607 1.505 8.504 0.000 -3.010 8.504" Properties=species:S:1:pos:R:3 pbc="T T T"
Tb 0.000 0.000 0.000
Pr 0.000 0.000 3.587
Pr 0.000 0.000 21.925
Cu -1.288 -0.743 10.526
Cu 0.000 0.000 8.466
Cu 0.000 -1.487 14.985
Cu -1.288 0.743 14.985
Cu 0.000 0.000 12.756
Cu 1.288 -0.743 10.526
Cu 0.000 1.487 10.526
Cu 0.000 0.000 17.046
Cu 1.288 0.743 14.985
```

Calculated values
DOS(E_F): 7.51 states/eV/f.u.
DFT formation energy: -1.647 eV/f.u.